1.
Compound: Ca2As7Rh12
Source: the Alexandria database
Functional: GGA-PBE
Structure: relaxed

It has space group P-6 (No. 174), with a = 10.0167 Å, b = 10.0167 Å, c = 3.8940 Å, α = 90.00°, β = 90.00° and γ = 120.00°. The inequivalent atoms are Ca at (0.0000, 0.0000, 0.0000), Ca at (0.3333, 0.6667, 0.5000), As at (0.0724, 0.4516, 0.0000), As at (0.2616, 0.2186, 0.5000), As at (0.6667, 0.3333, 0.0000), Rh at (0.0496, 0.2725, 0.5000), Rh at (0.1112, 0.7140, 0.0000), Rh at (0.3942, 0.1795, 0.0000) and Rh at (0.5250, 0.4443, 0.5000).

For the calculated formation energy, the calculation gives -650 meV per atom. As for the crystal system: hexagonal.

=====

2.
Compound: CaSeBr2
Source: the Alexandria database
Functional: GGA-PBE
Structure: relaxed

It has space group Immm (No. 71), with a = 4.177 Å, b = 4.811 Å, c = 13.955 Å, α = 90.00°, β = 90.00° and γ = 90.00°. The inequivalent atoms are Ca at (0.000, 0.000, 0.000), Se at (0.000, 0.000, 0.500) and Br at (0.000, 0.500, 0.354).

As for the energy relative to the elements, uncorrected: -960.3 meV per atom. The energy above the most stable polymorph in this dataset is 0.275 eV/atom. As for the crystal system: orthorhombic.

=====

3.
Compound: SrIn2Cl4
Source: the Alexandria database
Functional: GGA-PBE
Structure: relaxed

It has space group I4/mmm (No. 139), with a = 5.713 Å, b = 5.713 Å, c = 15.711 Å, α = 90.00°, β = 90.00° and γ = 90.00°. The inequivalent atoms are Sr at (0.000, 0.000, 0.000), In at (0.000, 0.000, 0.360), Cl at (0.000, 0.000, 0.183) and Cl at (0.000, 0.500, 0.000).

As for the energy relative to the elements, uncorrected: -1456.0 meV per atom. The energy above the most stable polymorph in this dataset is 0.049 eV/atom. As for the crystal system: tetragonal.

=====

4.
Compound: NaMnCoCl6
Source: the Alexandria database
Functional: GGA-PBE
Structure: relaxed

It has space group P-31c (No. 163), with a = 6.2695 Å, b = 6.2695 Å, c = 12.2566 Å, α = 90.00°, β = 90.00° and γ = 120.00°. The inequivalent atoms are Na at (0.0000, 0.0000, 0.0000), Mn at (0.3333, 0.6667, 0.2500), Co at (0.3333, 0.6667, 0.7500) and Cl at (0.0286, 0.3810, 0.6422).

As for the energy relative to the elements, uncorrected: -994.2 meV per atom. As for the crystal system: trigonal.

=====

Here are the calculated volume numbers, same order: 16.11 35.05 36.63 23.18 (A^3/atom).